Entry 1:
Computed, not measured: RbSb3S5O after structural relaxation at the GGA-PBE level of DFT.

a b c (Å): 7.1015 9.1557 9.3199
angles (deg): 91.55 94.56 93.66
Positions (direct):
Rb (0.2199, 0.3662, 0.1168)
Rb (0.7801, 0.6338, 0.8832)
Sb (0.1538, 0.3814, 0.6421)
Sb (0.2520, 0.9629, 0.7843)
Sb (0.3806, 0.8194, 0.3648)
Sb (0.6194, 0.1806, 0.6352)
Sb (0.7480, 0.0371, 0.2157)
Sb (0.8462, 0.6186, 0.3579)
S (0.0625, 0.7237, 0.1946)
S (0.2542, 0.0745, 0.5440)
S (0.3272, 0.7053, 0.7323)
S (0.3986, 0.0133, 0.1800)
S (0.4500, 0.3578, 0.7941)
S (0.5500, 0.6422, 0.2059)
S (0.6014, 0.9867, 0.8200)
S (0.6728, 0.2947, 0.2677)
S (0.7458, 0.9255, 0.4560)
S (0.9375, 0.2763, 0.8054)
O (0.1337, 0.5932, 0.7442)
O (0.8663, 0.4068, 0.2558)

**Polymorph energy (0 for the lowest one)**: 23 meV/atom
**SG**: No. 2
**E_form (uncorrected)**: -4.96 eV/f.u.
**N(E_F)**: 0.0000 states/eV/atom



Entry 2:
Computed, not measured: RbSb3S5O after structural relaxation at the GGA-PBE level of DFT.

a b c (Å): 6.3829 8.6776 11.2646
angles (deg): 107.15 99.31 98.79
Positions (direct):
Rb (0.0058, 0.0476, 0.1913)
Rb (0.9942, 0.9524, 0.8087)
Sb (0.1494, 0.8321, 0.4425)
Sb (0.2829, 0.6038, 0.5857)
Sb (0.4113, 0.5751, 0.1321)
Sb (0.5887, 0.4249, 0.8679)
Sb (0.7171, 0.3962, 0.4143)
Sb (0.8506, 0.1679, 0.5575)
S (0.0557, 0.4765, 0.3476)
S (0.2202, 0.3934, 0.9153)
S (0.2316, 0.1643, 0.5523)
S (0.4166, 0.8256, 0.0239)
S (0.4924, 0.2746, 0.1543)
S (0.5076, 0.7254, 0.8457)
S (0.5834, 0.1744, 0.9761)
S (0.7684, 0.8357, 0.4477)
S (0.7798, 0.6066, 0.0847)
S (0.9443, 0.5235, 0.6524)
O (0.1837, 0.8522, 0.0021)
O (0.8163, 0.1478, 0.9979)

**Polymorph energy (0 for the lowest one)**: 119 meV/atom
**SG**: No. 2
**E_form (uncorrected)**: -4.00 eV/f.u.
**N(E_F)**: 0.0248 states/eV/atom



Entry 3:
Computed, not measured: RbSeS2O8 after structural relaxation at the GGA-PBE level of DFT.

a b c (Å): 5.4934 5.4934 8.5837
angles (deg): 100.19 100.19 55.99
Positions (direct):
Rb (0.0000, 0.0000, 0.0000)
Se (0.0000, 0.0000, 0.5000)
S (0.3852, 0.3852, 0.2815)
S (0.6148, 0.6148, 0.7185)
O (0.2479, 0.7232, 0.3202)
O (0.2768, 0.7521, 0.6798)
O (0.2797, 0.2797, 0.3780)
O (0.3378, 0.3378, 0.1092)
O (0.6622, 0.6622, 0.8908)
O (0.7203, 0.7203, 0.6220)
O (0.7232, 0.2479, 0.3202)
O (0.7521, 0.2768, 0.6798)

**SG**: No. 12
**E_form (uncorrected)**: -14.33 eV/f.u.
**N(E_F)**: 0.0010 states/eV/atom



Entry 4:
Computed, not measured: Rb2SiS6O21 after structural relaxation at the GGA-PBE level of DFT.

a b c (Å): 9.7850 9.7850 11.5636
angles (deg): 90.00 90.00 120.00
Positions (direct):
Rb (0.3333, 0.6667, 0.0653)
Rb (0.3333, 0.6667, 0.6231)
Rb (0.6667, 0.3333, 0.3769)
Rb (0.6667, 0.3333, 0.9347)
Si (0.0000, 0.0000, 0.2651)
Si (0.0000, 0.0000, 0.7349)
S (0.0791, 0.7541, 0.8372)
S (0.1444, 0.3402, 0.3500)
S (0.1958, 0.8556, 0.3500)
S (0.2459, 0.3250, 0.8372)
S (0.3250, 0.0791, 0.1628)
S (0.3402, 0.1958, 0.6500)
S (0.6598, 0.8042, 0.3500)
S (0.6750, 0.9209, 0.8372)
S (0.7541, 0.6750, 0.1628)
S (0.8042, 0.1444, 0.6500)
S (0.8556, 0.6598, 0.6500)
S (0.9209, 0.2459, 0.1628)
O (0.0178, 0.6732, 0.7071)
O (0.0296, 0.3494, 0.0776)
O (0.0684, 0.9014, 0.3590)
O (0.0742, 0.9064, 0.8282)
O (0.0936, 0.1678, 0.8282)
O (0.0986, 0.1670, 0.3590)
O (0.1486, 0.4019, 0.4630)
O (0.1538, 0.7275, 0.2712)
O (0.1670, 0.0684, 0.6410)
O (0.1678, 0.0742, 0.1718)
O (0.2152, 0.4537, 0.8384)
O (0.2385, 0.7848, 0.8384)
O (0.2533, 0.8514, 0.4630)
O (0.2725, 0.4262, 0.2712)
O (0.3198, 0.9704, 0.0776)
O (0.3268, 0.3445, 0.7071)
O (0.3445, 0.0178, 0.2929)
O (0.3494, 0.3198, 0.9224)
O (0.4019, 0.2533, 0.5370)
O (0.4262, 0.1538, 0.7288)
O (0.4537, 0.2385, 0.1616)
O (0.5463, 0.7615, 0.8384)
O (0.5738, 0.8462, 0.2712)
O (0.5981, 0.7467, 0.4630)
O (0.6506, 0.6802, 0.0776)
O (0.6555, 0.9822, 0.7071)
O (0.6732, 0.6555, 0.2929)
O (0.6802, 0.0296, 0.9224)
O (0.7275, 0.5738, 0.7288)
O (0.7467, 0.1486, 0.5370)
O (0.7615, 0.2152, 0.1616)
O (0.7848, 0.5463, 0.1616)
O (0.8322, 0.9258, 0.8282)
O (0.8330, 0.9316, 0.3590)
O (0.8462, 0.2725, 0.7288)
O (0.8514, 0.5981, 0.5370)
O (0.9014, 0.8330, 0.6410)
O (0.9064, 0.8322, 0.1718)
O (0.9258, 0.0936, 0.1718)
O (0.9316, 0.0986, 0.6410)
O (0.9704, 0.6506, 0.9224)
O (0.9822, 0.3268, 0.2929)

**SG**: No. 147
**E_form (uncorrected)**: -44.76 eV/f.u.
**N(E_F)**: 0.0000 states/eV/atom